[1]
The following is a PBE-GGA calculation of YInSi2 after structural relaxation, from Alexandria via LeMat-Bulk.

## Properties
Volume: 81.3 Å³/f.u.
ΔE_f (raw): -0.19 eV per atom
Total moment: 0.00 μB/atom
Distance to the lowest polymorph of the same formula: 24 meV/atom
ρ: 5.3 g cm⁻³

a b c (Å): 5.6085 5.6085 5.6085
angles (deg): 136.93 136.93 62.55
Last column: nearest neighbours and their distance in Å.
Positions (direct):
1 Y 0.0000 0.0000 0.0000  8 Si 2.91-3.16, 4 In 3.16
2 In 0.2500 0.7500 0.5000  8 Si 2.91-3.16, 4 Y 3.16
3 Si 0.5000 0.5000 0.0000  4 Y 2.91, 4 In 3.16, 4 Si 3.16
4 Si 0.7500 0.2500 0.5000  4 In 2.91, 4 Si 3.16, 4 Y 3.16

=====

[2]
The following is a PBE-GGA calculation of YInSi2 after structural relaxation, from Alexandria via LeMat-Bulk.

## Properties
Volume: 86.9 Å³/f.u.
ΔE_f (raw): 0.19 eV per atom
Total moment: 0.00 μB/atom
Distance to the lowest polymorph of the same formula: 407 meV/atom
ρ: 5.0 g cm⁻³

a b c (Å): 4.9727 4.9727 4.9727
angles (deg): 60.00 60.00 60.00
Last column: nearest neighbours and their distance in Å.
Positions (direct):
1 Y 0.0000 0.0000 0.0000  4 In 3.05, 4 Si 3.05
2 In 0.2500 0.2500 0.2500  4 Si 3.05, 4 Y 3.05
3 Si 0.5000 0.5000 0.5000  4 In 3.05, 4 Si 3.05
4 Si 0.7500 0.7500 0.7500  4 Si 3.05, 4 Y 3.05

=====

[3]
The following is a PBE-GGA calculation of YIn2Si after structural relaxation, from Alexandria via LeMat-Bulk.

## Properties
Volume: 98.4 Å³/f.u.
ΔE_f (raw): 0.10 eV per atom
Total moment: 0.00 μB/atom
Distance to the lowest polymorph of the same formula: 402 meV/atom
ρ: 5.8 g cm⁻³

a b c (Å): 5.1820 5.1820 5.1820
angles (deg): 60.00 60.00 60.00
Last column: nearest neighbours and their distance in Å.
Positions (direct):
1 Y 0.0000 0.0000 0.0000  8 In 3.17
2 In 0.2500 0.2500 0.2500  4 Si 3.17, 4 Y 3.17
3 In 0.7500 0.7500 0.7500  4 Si 3.17, 4 Y 3.17
4 Si 0.5000 0.5000 0.5000  8 In 3.17

=====

[4]
The following is a PBE-GGA calculation of YInSi2 after structural relaxation, from Alexandria via LeMat-Bulk.

## Properties
Volume: 89.9 Å³/f.u.
ΔE_f (raw): -0.01 eV per atom
Total moment: 0.00 μB/atom
Distance to the lowest polymorph of the same formula: 206 meV/atom
ρ: 4.8 g cm⁻³

a b c (Å): 6.2075 6.2075 6.2075
angles (deg): 104.71 104.71 119.48
Last column: nearest neighbours and their distance in Å.
Positions (direct):
1 Y 0.0000 0.0000 0.0000  4 Si 2.94, 2 In 3.13
2 Y 0.7500 0.2500 0.5000  4 Si 2.94, 2 In 3.13
3 In 0.2500 0.7500 0.5000  4 Si 2.66
4 In 0.5000 0.5000 0.0000  4 Si 2.66
5 Si 0.1525 0.6250 0.0275  2 In 2.66, 2 Y 2.94
6 Si 0.3750 0.4025 0.5275  2 In 2.66, 2 Y 2.94
7 Si 0.5975 0.1250 0.9725  2 In 2.66, 2 Y 2.94
8 Si 0.8750 0.8475 0.4725  2 In 2.66, 2 Y 2.94

=====

[5]
The following is a PBE-GGA calculation of YInSi after structural relaxation, from Alexandria via LeMat-Bulk.

## Properties
Volume: 71.4 Å³/f.u.
ΔE_f (raw): 0.08 eV per atom
Total moment: 0.00 μB/atom
ρ: 5.4 g cm⁻³

a b c (Å): 3.3560 3.3560 7.3226
angles (deg): 90.00 90.00 120.00
Last column: nearest neighbours and their distance in Å.
Positions (direct):
1 Y 0.0000 0.0000 0.0000  3 Si 3.04, 6 Y 3.36, 3 In 3.37
2 In 0.6667 0.3333 0.3761  3 Si 2.95
3 Si 0.3333 0.6667 0.6801  3 In 2.95, 3 Y 3.04

=====

[6]
The following is a PBE-GGA calculation of YInSi2 after structural relaxation, from Alexandria via LeMat-Bulk.

## Properties
Volume: 83.1 Å³/f.u.
ΔE_f (raw): -0.08 eV per atom
Total moment: 0.00 μB/atom
Distance to the lowest polymorph of the same formula: 131 meV/atom
ρ: 5.2 g cm⁻³

a b c (Å): 3.1493 4.6744 5.6454
angles (deg): 90.00 90.00 90.00
Last column: nearest neighbours and their distance in Å.
Positions (direct):
1 Y 0.0000 0.0000 0.0000  6 Si 3.03-3.07, 2 Y 3.15, 4 In 3.24
2 In 0.5000 0.5000 0.7163  4 Si 2.76-2.82
3 Si 0.5000 0.0000 0.4578  2 Si 2.71, 2 In 2.76, 2 Y 3.03
4 Si 0.5000 0.5000 0.2161  2 Si 2.71, 2 In 2.82

=====

Q: What is the formula in the fourth record?
A: YInSi2

=====

Q: Look up the ρ of the sixth one.
A: 5.2 g cm⁻³

=====

Q: Among the records above, which one has the highest ρ?
A: YIn2Si